Compound: PuP2
Source: Alexandria
Functional: GGA-PBE
Structure: optimized geometry

```
data_PuP2
_cell_length_a 5.414
_cell_length_b 5.511
_cell_length_c 4.301
_cell_angle_alpha 90.00
_cell_angle_beta 116.33
_cell_angle_gamma 90.00
_symmetry_space_group_name_H-M 'C 1 2/m 1'
_symmetry_Int_Tables_number 12
loop_
_symmetry_equiv_pos_as_xyz
'x,y,z'
'-x,-y,-z'
'-x,y,-z'
'x,-y,z'
'x+1/2,y+1/2,z'
'-x+1/2,-y+1/2,-z'
'-x+1/2,y+1/2,-z'
'x+1/2,-y+1/2,z'
loop_
_atom_site_label
_atom_site_type_symbol
_atom_site_fract_x
_atom_site_fract_y
_atom_site_fract_z
Pu1 Pu 0.000 0.000 0.000
P1 P 0.087 0.500 0.288
```


# La4Ho5 (GGA-PBE, optimized geometry)
# offset from the most stable computed form = 0 meV/atom
data_La4Ho5
_cell_length_a 10.850
_cell_length_b 10.850
_cell_length_c 5.137
_cell_angle_alpha 90.00
_cell_angle_beta 90.00
_cell_angle_gamma 90.00
_symmetry_space_group_name_H-M 'I 4/m m m'
_symmetry_Int_Tables_number 139
_symmetry_space_group_name_Hall '-I 4 2'
loop_
_atom_site_label
_atom_site_type_symbol
_atom_site_fract_x
_atom_site_fract_y
_atom_site_fract_z
La1 La 0.167 0.167 0.000
Ho1 Ho 0.000 0.000 0.500
Ho2 Ho 0.000 0.336 0.500


# ZnTeIN2 (GGA-PBE, optimized geometry)
# offset from the most stable computed form = 314 meV/atom
# ΔE_f (raw) = 152 kJ per mole of atoms
data_ZnTeIN2
_cell_length_a 4.275
_cell_length_b 4.275
_cell_length_c 6.360
_cell_angle_alpha 90.00
_cell_angle_beta 90.00
_cell_angle_gamma 90.00
_symmetry_space_group_name_H-M 'P 4/m m m'
_symmetry_Int_Tables_number 123
_symmetry_space_group_name_Hall '-P 4 2'
loop_
_atom_site_label
_atom_site_type_symbol
_atom_site_fract_x
_atom_site_fract_y
_atom_site_fract_z
Zn1 Zn 0.000 0.000 0.000
Te1 Te 0.500 0.500 0.500
I1 I 0.000 0.000 0.500
N1 N 0.000 0.500 0.000


no.,spin magnetization (μB per formula unit),E_tot (eV/atom)
1,4.9,-9.059
2,0.0,-4.703
3,4.1,-2.948